Crystalline CaVPdO5 at its relaxed geometry. Source: Alexandria, functional GGA+U.

Cell and atoms, written as extended XYZ:
```
16
Lattice="3.397 -4.965 0.000 3.397 4.965 0.000 -2.697 0.000 6.430" Properties=species:S:1:pos:R:3 pbc="T T T"
Ca 1.375 3.187 4.822
Ca 2.723 -3.187 1.607
V 2.723 3.468 1.607
V 1.375 -3.468 4.822
Pd 3.397 0.000 0.000
Pd 2.049 0.000 3.215
O 1.577 2.479 2.442
O -1.263 0.384 5.958
O 0.086 -0.384 2.743
O 3.870 2.479 0.772
O 1.375 0.851 4.822
O 2.723 -0.851 1.607
O 0.229 -2.479 5.657
O 4.013 0.384 3.686
O 5.361 -0.384 0.472
O 2.521 -2.479 3.987
```

Values from the calculation:
* DOS(E_F): 6.784 states/eV/cell
* uncorrected energy: -6.647 eV/atom